(1)
DFT (SCAN) results for AlCr2C at its PBEsol-relaxed geometry.

## Properties
Formation enthalpy at 0 K = -0.82 eV/f.u.

Cell: 2.8121 2.8121 12.5842 Å, 90.00 90.00 120.00°
Each line ends with the local moment (μB).
Sites, in units of the cell vectors:
Cr (0.3333, 0.6667, 0.0846)  0.95
Cr (0.6667, 0.3333, 0.5846)  0.95
Cr (0.6667, 0.3333, 0.9154)  0.95
Cr (0.3333, 0.6667, 0.4154)  0.95
C (0.0000, 0.0000, 0.0000)  -0.10
C (0.0000, 0.0000, 0.5000)  -0.10
Al (0.6667, 0.3333, 0.2500)  -0.04
Al (0.3333, 0.6667, 0.7500)  -0.04

(2)
DFT (SCAN) results for AlCr4GaC2 at its PBEsol-relaxed geometry.

## Properties
Formation enthalpy at 0 K = -1.39 eV/f.u.

Cell: 2.8212 2.8212 12.4842 Å, 90.00 90.00 120.00°
Each line ends with the local moment (μB).
Sites, in units of the cell vectors:
Cr (0.3333, 0.6667, 0.3366)  0.98
Cr (0.6667, 0.3333, 0.1668)  0.96
Cr (0.6667, 0.3333, 0.8332)  0.96
Cr (0.3333, 0.6667, 0.6634)  0.98
C (0.0000, 0.0000, 0.2515)  -0.10
C (0.0000, 0.0000, 0.7485)  -0.10
Al (0.3333, 0.6667, 0.0000)  -0.04
Ga (0.6667, 0.3333, 0.5000)  -0.06

(3)
DFT (SCAN) results for TaAlCrC2 at its PBEsol-relaxed geometry.

## Properties
Formation enthalpy at 0 K = 8.80 eV/f.u.

Cell: 4.1058 4.1058 5.0496 Å, 90.00 90.00 90.00°
Each line ends with the local moment (μB).
Sites, in units of the cell vectors:
Cr (0.0000, 0.0000, 0.5000)  3.68
C (0.0000, 0.5000, 0.0000)  0.00
C (0.5000, 0.0000, 0.0000)  0.00
Al (0.5000, 0.5000, 0.5000)  -0.03
Ta (0.0000, 0.0000, 0.0000)  -0.01

(4)
DFT (SCAN) results for AlVCrC at its PBEsol-relaxed geometry.

## Properties
Formation enthalpy at 0 K = -1.50 eV/f.u.

Cell: 2.8480 2.8480 12.7787 Å, 90.00 90.00 120.00°
Sites, in units of the cell vectors:
Cr (0.6667, 0.3333, 0.5821)
Cr (0.3333, 0.6667, 0.4179)
C (0.0000, 0.0000, 0.5000)
C (0.0000, 0.0000, 0.0000)
Al (0.6667, 0.3333, 0.2573)
Al (0.3333, 0.6667, 0.7427)
V (0.3333, 0.6667, 0.0880)
V (0.6667, 0.3333, 0.9120)